Material: Cr3IrSe6
Method: DFT, PBE
State: relaxed

Cell lengths 6.756, 6.316, 11.919 Å; angles 90.00, 123.91, 90.00 degrees
Sites, in units of the cell vectors:
Cr 0.000 0.000 0.000
Cr 0.000 0.500 0.500
Cr 0.455 0.123 0.747
Cr 0.455 0.377 0.247
Cr 0.545 0.623 0.753
Cr 0.545 0.877 0.253
Ir 0.500 0.000 0.500
Ir 0.500 0.500 0.000
Se 0.188 0.110 0.254
Se 0.188 0.390 0.754
Se 0.228 0.654 0.064
Se 0.228 0.846 0.564
Se 0.400 0.155 0.062
Se 0.400 0.345 0.562
Se 0.600 0.655 0.438
Se 0.600 0.845 0.938
Se 0.772 0.154 0.436
Se 0.772 0.346 0.936
Se 0.812 0.610 0.246
Se 0.812 0.890 0.746

Crystal system: monoclinic
Symmetry: P2_1/c (14)
Formation energy (no corrections) (eV/atom): -0.300
E (eV/atom): -6.1636